[1]
Below is a relaxed structure of SmTmThMg, with properties calculated at the PBE level.

Structure (CIF):
```
data_SmTmThMg
_chemical_formula_sum 'Sm1 Tm1 Th1 Mg1'
_cell_length_a 3.588
_cell_length_b 3.588
_cell_length_c 9.254
_cell_angle_alpha 90.00
_cell_angle_beta 90.00
_cell_angle_gamma 90.00
_space_group_name_H-M_alt 'P 4 m m'
_space_group_IT_number 99
loop_
_space_group_symop_operation_xyz
'x,y,z'
'-y,x,z'
'-x,-y,z'
'y,-x,z'
'-x,y,z'
'y,x,z'
'x,-y,z'
'-y,-x,z'
loop_
_atom_site_label
_atom_site_type_symbol
_atom_site_fract_x
_atom_site_fract_y
_atom_site_fract_z
_atom_site_occupancy
Sm1 Sm 0.000 0.000 0.000 1
Tm1 Tm 0.000 0.000 0.481 1
Th1 Th 0.500 0.500 0.736 1
Mg1 Mg 0.500 0.500 0.249 1
```

Values from the calculation:
- N(E_F): 4.4 states/eV/f.u.
- Relative energy among the computed polymorphs: 0 meV/atom
- Total magnetic moment: 0.0 μB/f.u.
- ΔH_f (0 K): -3.80 kJ/mol of atoms

=====

[2]
Below is a relaxed structure of ZnCu2GeSe2S2, with properties calculated at the PBE level.

Structure (CIF):
```
data_ZnCu2GeSe2S2
_chemical_formula_sum 'Zn2 Cu4 Ge2 Se4 S4'
_cell_length_a 7.767
_cell_length_b 6.717
_cell_length_c 6.369
_cell_angle_alpha 90.00
_cell_angle_beta 90.00
_cell_angle_gamma 90.00
_space_group_name_H-M_alt 'P m n 21'
_space_group_IT_number 31
loop_
_space_group_symop_operation_xyz
'x,y,z'
'-x+1/2,-y,z+1/2'
'-x,y,z'
'x+1/2,-y,z+1/2'
loop_
_atom_site_label
_atom_site_type_symbol
_atom_site_fract_x
_atom_site_fract_y
_atom_site_fract_z
_atom_site_occupancy
Zn1 Zn 0.000 0.147 0.000 1
Cu1 Cu 0.249 0.309 0.484 1
Ge1 Ge 0.000 0.839 0.497 1
Se1 Se 0.248 0.660 0.365 1
S1 S 0.000 0.159 0.373 1
S2 S 0.000 0.823 0.858 1
```

Values from the calculation:
- N(E_F): 0.1 states/eV/f.u.
- Relative energy among the computed polymorphs: 0 meV/atom
- Total magnetic moment: 0.0 μB/f.u.
- Raw formation energy: -0.4058 eV per atom

=====

[3]
Below is a relaxed structure of Pr8TlNi2, with properties calculated at the PBE level.

Structure (CIF):
```
data_Pr8TlNi2
_chemical_formula_sum 'Pr16 Tl2 Ni4'
_cell_length_a 8.813
_cell_length_b 13.991
_cell_length_c 5.620
_cell_angle_alpha 90.00
_cell_angle_beta 104.63
_cell_angle_gamma 90.00
_space_group_name_H-M_alt 'C 1 2/m 1'
_space_group_IT_number 12
loop_
_space_group_symop_operation_xyz
'x,y,z'
'-x,-y,-z'
'-x,y,-z'
'x,-y,z'
'x+1/2,y+1/2,z'
'-x+1/2,-y+1/2,-z'
'-x+1/2,y+1/2,-z'
'x+1/2,-y+1/2,z'
loop_
_atom_site_label
_atom_site_type_symbol
_atom_site_fract_x
_atom_site_fract_y
_atom_site_fract_z
_atom_site_occupancy
Pr1 Pr 0.000 0.248 0.000 1
Pr2 Pr 0.104 0.500 0.805 1
Pr3 Pr 0.206 0.126 0.566 1
Tl1 Tl 0.000 0.000 0.000 1
Ni1 Ni 0.000 0.298 0.500 1
```

Values from the calculation:
- N(E_F): 13.2 states/eV/f.u.
- Total magnetic moment: 0.0 μB/f.u.
- ΔH_f (0 K): -9.20 kJ/mol of atoms

=====

[4]
Below is a relaxed structure of Nd5TlNi, with properties calculated at the PBE level.

Structure (CIF):
```
data_Nd5TlNi
_chemical_formula_sum 'Nd20 Tl4 Ni4'
_cell_length_a 10.987
_cell_length_b 7.092
_cell_length_c 11.705
_cell_angle_alpha 90.00
_cell_angle_beta 108.71
_cell_angle_gamma 90.00
_space_group_name_H-M_alt 'C 1 2/c 1'
_space_group_IT_number 15
loop_
_space_group_symop_operation_xyz
'x,y,z'
'-x,-y,-z'
'-x,y,-z+1/2'
'x,-y,z+1/2'
'x+1/2,y+1/2,z'
'-x+1/2,-y+1/2,-z'
'-x+1/2,y+1/2,-z+1/2'
'x+1/2,-y+1/2,z+1/2'
loop_
_atom_site_label
_atom_site_type_symbol
_atom_site_fract_x
_atom_site_fract_y
_atom_site_fract_z
_atom_site_occupancy
Nd1 Nd 0.000 0.005 0.250 1
Nd2 Nd 0.122 0.329 0.049 1
Nd3 Nd 0.220 0.190 0.638 1
Tl1 Tl 0.000 0.466 0.750 1
Ni1 Ni 0.000 0.000 0.000 1
```

Values from the calculation:
- N(E_F): 8.9 states/eV/f.u.
- Total magnetic moment: 0.0 μB/f.u.
- ΔH_f (0 K): -8.36 kJ/mol of atoms

=====

[5]
Below is a relaxed structure of AlIn2Mo, with properties calculated at the PBE level.

Structure (CIF):
```
data_AlIn2Mo
_chemical_formula_sum 'Al1 In2 Mo1'
_cell_length_a 3.677
_cell_length_b 3.677
_cell_length_c 5.683
_cell_angle_alpha 90.00
_cell_angle_beta 90.00
_cell_angle_gamma 90.00
_space_group_name_H-M_alt 'P 4/m m m'
_space_group_IT_number 123
_space_group_name_Hall '-P 4 2'
loop_
_atom_site_label
_atom_site_type_symbol
_atom_site_fract_x
_atom_site_fract_y
_atom_site_fract_z
_atom_site_occupancy
Al1 Al 0.000 0.000 0.000 1
In1 In 0.500 0.500 0.254 1
Mo1 Mo 0.000 0.000 0.500 1
```

Values from the calculation:
- N(E_F): 3.2 states/eV/f.u.
- Total magnetic moment: 0.0 μB/f.u.
- ΔH_f (0 K): 23.33 kJ/mol of atoms

=====

[6]
Below is a relaxed structure of In4SnTe5, with properties calculated at the PBE level.

Structure (CIF):
```
data_In4SnTe5
_chemical_formula_sum 'In8 Sn2 Te10'
_cell_length_a 4.430
_cell_length_b 4.430
_cell_length_c 32.028
_cell_angle_alpha 90.00
_cell_angle_beta 90.00
_cell_angle_gamma 90.00
_space_group_name_H-M_alt 'I 4/m m m'
_space_group_IT_number 139
_space_group_name_Hall '-I 4 2'
loop_
_atom_site_label
_atom_site_type_symbol
_atom_site_fract_x
_atom_site_fract_y
_atom_site_fract_z
_atom_site_occupancy
In1 In 0.000 0.000 0.100 1
In2 In 0.000 0.000 0.300 1
Sn1 Sn 0.000 0.000 0.500 1
Te1 Te 0.000 0.000 0.000 1
Te2 Te 0.000 0.000 0.200 1
Te3 Te 0.000 0.000 0.400 1
```

Values from the calculation:
- N(E_F): 5.4 states/eV/f.u.
- Total magnetic moment: 0.0 μB/f.u.
- Raw formation energy: -0.2770 eV per atom

=====

[7]
Below is a relaxed structure of Mn2BeTe, with properties calculated at the PBE level.

Structure (CIF):
```
data_Mn2BeTe
_chemical_formula_sum 'Mn2 Be1 Te1'
_cell_length_a 3.820
_cell_length_b 3.820
_cell_length_c 3.893
_cell_angle_alpha 90.00
_cell_angle_beta 90.00
_cell_angle_gamma 90.00
_space_group_name_H-M_alt 'P 4/m m m'
_space_group_IT_number 123
_space_group_name_Hall '-P 4 2'
loop_
_atom_site_label
_atom_site_type_symbol
_atom_site_fract_x
_atom_site_fract_y
_atom_site_fract_z
_atom_site_occupancy
Mn1 Mn 0.000 0.500 0.000 1
Be1 Be 0.000 0.000 0.500 1
Te1 Te 0.500 0.500 0.500 1
```

Values from the calculation:
- N(E_F): 3.2 states/eV/f.u.
- Relative energy among the computed polymorphs: 51 meV/atom
- Total magnetic moment: 5.7 μB/f.u.
- Raw formation energy: 0.3330 eV per atom

=====

[8]
Below is a relaxed structure of Ba3CaMn, with properties calculated at the PBE level.

Structure (CIF):
```
data_Ba3CaMn
_chemical_formula_sum 'Ba3 Ca1 Mn1'
_cell_length_a 6.055
_cell_length_b 6.055
_cell_length_c 6.055
_cell_angle_alpha 90.00
_cell_angle_beta 90.00
_cell_angle_gamma 90.00
_space_group_name_H-M_alt 'P m -3 m'
_space_group_IT_number 221
_space_group_name_Hall '-P 4 2 3'
loop_
_atom_site_label
_atom_site_type_symbol
_atom_site_fract_x
_atom_site_fract_y
_atom_site_fract_z
_atom_site_occupancy
Ba1 Ba 0.000 0.000 0.500 1
Ca1 Ca 0.500 0.500 0.500 1
Mn1 Mn 0.000 0.000 0.000 1
```

Values from the calculation:
- N(E_F): 6.9 states/eV/f.u.
- Relative energy among the computed polymorphs: 0 meV/atom
- Total magnetic moment: 0.0 μB/f.u.
- ΔH_f (0 K): 57.55 kJ/mol of atoms

=====

[9]
Below is a relaxed structure of NaMgBe3, with properties calculated at the PBE level.

Structure (CIF):
```
data_NaMgBe3
_chemical_formula_sum 'Na1 Mg1 Be3'
_cell_length_a 4.489
_cell_length_b 4.489
_cell_length_c 4.489
_cell_angle_alpha 90.00
_cell_angle_beta 90.00
_cell_angle_gamma 90.00
_space_group_name_H-M_alt 'P m -3 m'
_space_group_IT_number 221
_space_group_name_Hall '-P 4 2 3'
loop_
_atom_site_label
_atom_site_type_symbol
_atom_site_fract_x
_atom_site_fract_y
_atom_site_fract_z
_atom_site_occupancy
Na1 Na 0.000 0.000 0.000 1
Mg1 Mg 0.500 0.500 0.500 1
Be1 Be 0.000 0.000 0.500 1
```

Values from the calculation:
- N(E_F): 1.7 states/eV/f.u.
- Relative energy among the computed polymorphs: 345 meV/atom
- Total magnetic moment: 0.0 μB/f.u.
- ΔH_f (0 K): 153.48 kJ/mol of atoms

=====

[10]
Below is a relaxed structure of PaFe2Pt, with properties calculated at the PBE level.

Structure (CIF):
```
data_PaFe2Pt
_chemical_formula_sum 'Pa1 Fe2 Pt1'
_cell_length_a 4.058
_cell_length_b 4.058
_cell_length_c 3.806
_cell_angle_alpha 90.00
_cell_angle_beta 90.00
_cell_angle_gamma 90.00
_space_group_name_H-M_alt 'P 4/m m m'
_space_group_IT_number 123
_space_group_name_Hall '-P 4 2'
loop_
_atom_site_label
_atom_site_type_symbol
_atom_site_fract_x
_atom_site_fract_y
_atom_site_fract_z
_atom_site_occupancy
Pa1 Pa 0.000 0.000 0.000 1
Fe1 Fe 0.000 0.500 0.500 1
Pt1 Pt 0.500 0.500 0.000 1
```

Values from the calculation:
- N(E_F): 4.5 states/eV/f.u.
- Total magnetic moment: 2.5 μB/f.u.
- ΔH_f (0 K): -37.81 kJ/mol of atoms